{"formula": "Mo2Ru2Pb", "functional": "PBE", "state": "relaxed", "magmom_total_mub_per_atom": 0.000, "energy_ev_per_atom": -8.47, "crystal_system": "tetragonal", "ef_ev_per_atom": 0.3177, "e_above_lowest_polymorph_mev_per_atom": 0, "lattice": [[-6.085, 1.869, -4.298], [-4.252, -5.162, 3.776], [-0.746, 2.035, 1.942]], "species": ["Pb", "Pb", "Ru", "Ru", "Ru", "Ru", "Mo", "Mo", "Mo", "Mo"], "frac_coords": [[0.000, 0.000, 0.000], [0.500, 0.500, 0.000], [0.368, 0.868, 0.000], [0.868, 0.632, 0.000], [0.632, 0.132, 0.000], [0.132, 0.368, 0.000], [0.155, 0.655, 0.500], [0.655, 0.845, 0.500], [0.845, 0.345, 0.500], [0.345, 0.155, 0.500]]}